Entry from the Alexandria database: crystalline TmTlRu at its relaxed geometry (PBE-GGA).

Cell: 5.611 5.611 5.611 Å, 143.48 143.48 52.61°
Element x y z (fractional)
Tm: 0.000 0.000 0.000
Tl: 0.696 0.696 0.000
Ru: 0.354 0.354 0.000

- Energy of formation from the pure elements: -0.158 eV per atom
- Calculated total energy: -5.5288 eV per atom
- Size of the total moment: 0.00 μB/f.u.
- DOS at the Fermi energy: 0.499 states/eV per cell
- SG: No. 107